(1)
14
Lattice="-7.599 1.828 -6.631 -3.484 -6.061 6.275 -8.113 3.253 5.172" Properties=species:S:1:pos:R:3 comment="RbTe2I4 PBE relaxed" rho_g_cm3=3.84 space_group="No. 1" raw_formation_energy_ev_per_atom=-0.446 dft_energy_ev_per_fu=-16.6 pbc="T T T"
Te -12.445 2.633 1.728
Te -10.191 0.599 1.800
Te -7.896 -3.871 3.813
Te -7.873 -1.336 2.242
I -4.970 -3.463 3.704
I -7.855 -2.271 -0.445
I -7.624 2.106 1.807
I -12.729 -0.919 1.627
I -8.353 -0.930 5.277
I -4.046 -0.436 -0.360
I -12.307 3.015 -1.092
I -7.318 1.748 -2.762
Rb -0.208 0.070 0.084
Rb -12.267 -1.213 5.294

---

(2)
11
Lattice="3.588 -0.001 0.003 -0.001 4.972 0.004 1.785 2.473 15.509" Properties=species:S:1:pos:R:3 comment="Pm3Cd4Hg4 PBE relaxed" rho_g_cm3=10.13 space_group="No. 2" delta_e_f_mev_per_atom=-340 dft_energy_ev_per_fu=-22.9 pbc="T T T"
Cd 3.584 4.966 8.200
Cd 1.789 4.968 2.856
Cd 1.789 2.478 7.314
Cd 3.584 2.476 12.660
Hg 1.795 4.965 5.714
Hg 3.584 4.961 14.049
Hg 1.788 2.483 1.467
Hg 3.577 2.479 9.802
Pm 1.787 4.964 11.160
Pm 3.588 -0.001 0.003
Pm 3.585 2.480 4.355

---

(3)
20
Lattice="-0.407 5.716 3.829 -1.659 -5.052 7.364 9.064 0.565 0.121" Properties=species:S:1:pos:R:3 comment="Sm3TaSe6 PBE relaxed" rho_g_cm3=6.60 space_group="No. 36" raw_formation_energy_ev_per_atom=-1.401 dft_energy_ev_per_fu=-60.9 pbc="T T T"
Se 4.473 -2.135 5.899
Se 8.685 1.400 0.997
Se 4.997 1.103 7.322
Se 4.889 0.962 1.561
Se 2.058 -0.672 3.458
Se 0.649 -2.792 6.435
Se 6.409 3.189 4.322
Se 2.150 -0.308 9.368
Se -0.329 1.194 6.862
Se 2.582 2.567 4.882
Se -1.626 -1.036 9.738
Se 7.368 -0.540 4.067
Sm 6.700 2.428 9.235
Sm 1.912 5.329 4.395
Sm 4.544 0.468 4.536
Sm 2.346 2.281 7.797
Sm 0.111 1.421 3.835
Sm 4.899 -1.480 8.675
Ta 0.199 -0.922 8.002
Ta 6.977 -0.336 1.647

---

(4)
5
Lattice="5.087 0.000 0.000 0.000 5.087 0.000 0.000 0.000 5.087" Properties=species:S:1:pos:R:3 comment="CdAg3Mo PBE relaxed" rho_g_cm3=6.71 space_group="No. 221" e_above_lowest_polymorph_mev_per_atom=0 delta_e_f_mev_per_atom=1330 dft_energy_ev_per_fu=-13.7 pbc="T T T"
Ag 2.543 0.000 0.000
Ag 0.000 0.000 2.543
Ag 0.000 2.543 0.000
Mo 2.543 2.543 2.543
Cd 0.000 0.000 0.000

---

Which size of the total moment belongs to each record? In order, 0.0; 0.0; 1.2; 4.4 μB per formula unit.